A plane-wave DFT calculation with SCAN was carried out for a crystal of Mg3Sc relaxed with PBEsol.

## Properties
For the energy of formation from the pure elements, the calculation gives 3 meV per atom. The calculation puts the total moment at 0.8 μB/f.u.

Cell: 3.100 4.547 6.418 Å, 90.00 90.00 90.00°
Positions (direct):
Mg 0.000 0.000 0.000
Mg 0.500 0.500 0.252
Mg 0.500 0.500 0.748
Sc 0.000 0.000 0.500